An optimized crystal structure of Sr2LiGa2Ir, computed with PBE.

Cell lengths 6.471, 6.329, 8.617 Å; angles 111.55, 112.05, 90.00 degrees
Fractional coordinates of all 12 atoms:
Sr: 0.412 0.159 0.319
Sr: 0.588 0.841 0.681
Sr: 0.093 0.341 0.681
Sr: 0.907 0.659 0.319
Li: 0.500 0.750 0.000
Li: 0.500 0.250 0.000
Ga: 0.852 0.086 0.173
Ga: 0.321 0.586 0.173
Ga: 0.679 0.414 0.827
Ga: 0.148 0.914 0.827
Ir: 0.000 0.750 0.000
Ir: 0.000 0.250 0.000

uncorrected energy = -0.2778 Ry per atom

An optimized crystal structure of Rb3BeN, computed with PBE.

Cell lengths 5.838, 5.838, 5.838 Å; angles 90.00, 90.00, 90.00 degrees
Fractional coordinates of all 5 atoms:
Be: 0.500 0.500 0.500
Rb: 0.000 0.500 0.000
Rb: 0.000 0.000 0.500
Rb: 0.500 0.000 0.000
N: 0.000 0.000 0.000

uncorrected energy = -0.1460 Ry per atom
energy above the most stable polymorph in this dataset = 0 meV/atom

An optimized crystal structure of Sc3BiC, computed with PBE.

Cell lengths 4.068, 4.068, 15.878 Å; angles 90.00, 90.00, 120.00 degrees
Fractional coordinates of all 10 atoms:
Sc: 0.000 0.000 0.250
Sc: 0.000 0.000 0.750
Sc: 0.333 0.667 0.889
Sc: 0.333 0.667 0.611
Sc: 0.667 0.333 0.389
Sc: 0.667 0.333 0.111
C: 0.333 0.667 0.750
C: 0.667 0.333 0.250
Bi: 0.000 0.000 0.000
Bi: 0.000 0.000 0.500

uncorrected energy = -0.4906 Ry per atom

Among the records above, which one has the lowest uncorrected energy?
Sc3BiC